The following is a DFT calculation (PBE) of ZnHgPt3 after structural relaxation.

- Total DFT energy (no corrections): -16.68 eV for the cell shown
- Calculated volume: 100 Å³ per cell
- Energy relative to the elements: 3.0 eV/f.u.
- Total moment: 0.00 Bohr magnetons per cell

a b c (Å): 4.643 4.643 4.643
angles (deg): 90.00 90.00 90.00
Space group Pm-3m (No. 221)
One atom of each set of equivalent atoms:
Zn (0.000, 0.000, 0.000) (multiplicity 1)
Hg (0.500, 0.500, 0.500) (multiplicity 1)
Pt (0.000, 0.000, 0.500) (multiplicity 3)